1.
Below is a geometry-optimized CePrZn2 structure, with properties calculated at the PBE-GGA level.

Unit cell a=5.1964 b=5.1964 c=5.1964 alpha=60.00 beta=60.00 gamma=60.00
Each line ends with the local moment (μB).
Atoms (fractional coordinates):
1 Pr 0.5000 0.5000 0.5000  0.09
2 Zn 0.2500 0.2500 0.2500  0.01
3 Zn 0.7500 0.7500 0.7500  0.01
4 Ce 0.0000 0.0000 0.0000  0.77

Summary:
The calculation puts the excess energy over the best structure of this formula in the dataset at 0.012 eV/atom. As for the total moment: 1.191 μB/cell. The density of states at the Fermi level comes out at 9.23 states/eV/cell. Its calculated formation energy is -0.22 eV/atom.

---

2.
Below is a geometry-optimized Li4Er3MgTe8 structure, with properties calculated at the PBE-GGA level.

Unit cell a=8.5394 b=8.5860 c=8.5397 alpha=119.83 beta=120.00 gamma=90.00
Atoms (fractional coordinates):
1 Li 0.5000 0.0000 0.0000
2 Li 0.5000 0.0000 0.5000
3 Li 0.0000 0.0000 0.0000
4 Li 0.0000 0.0000 0.5000
5 Er 0.5000 0.5000 0.0000
6 Er 0.5000 0.5000 0.5000
7 Er 0.0000 0.5000 0.5000
8 Mg 0.0000 0.5000 0.0000
9 Te 0.2482 0.7516 0.0035
10 Te 0.2483 0.7517 0.4966
11 Te 0.2478 0.2435 0.4956
12 Te 0.7552 0.7516 0.0035
13 Te 0.2448 0.2484 0.9965
14 Te 0.7522 0.7565 0.5044
15 Te 0.7517 0.2483 0.5034
16 Te 0.7518 0.2484 0.9965

Summary:
As for the total moment: 0.000 μB/cell. The density of states at the Fermi level comes out at 4.98 states/eV/cell. The value obtained for the uncorrected formation energy is -1.128 eV/atom.